The following is a PBE calculation of crystalline TaAlZnRe at its relaxed geometry, from the Alexandria database.

## Properties
- DFT total energy: -118.8 eV/cell

a = 6.2808 Å, b = 6.2808 Å, c = 6.2808 Å
α = 90.00°, β = 90.00°, γ = 90.00°
Space group F-43m (No. 216)
Unique sites:
1 Ta 0.0000 0.0000 0.0000 x4
2 Al 0.0000 0.0000 0.5000 x4
3 Zn 0.2500 0.2500 0.2500 x4
4 Re 0.2500 0.2500 0.7500 x4



The following is a PBE calculation of crystalline YMnCl2 at its relaxed geometry, from the Alexandria database.

## Properties
- ΔE_f (raw): -0.578 eV per atom

a = 6.8242 Å, b = 6.8242 Å, c = 6.8242 Å
α = 90.00°, β = 90.00°, γ = 90.00°
Space group Fm-3m (No. 225)
Unique sites:
1 Y 0.0000 0.0000 0.0000 x4
2 Mn 0.0000 0.0000 0.5000 x4
3 Cl 0.2500 0.2500 0.2500 x8



Repeat the first record exactly.
The following is a PBE calculation of crystalline TaAlZnRe at its relaxed geometry, from the Alexandria database.

## Properties
- DFT total energy: -118.8 eV/cell

a = 6.2808 Å, b = 6.2808 Å, c = 6.2808 Å
α = 90.00°, β = 90.00°, γ = 90.00°
Space group F-43m (No. 216)
Unique sites:
1 Ta 0.0000 0.0000 0.0000 x4
2 Al 0.0000 0.0000 0.5000 x4
3 Zn 0.2500 0.2500 0.2500 x4
4 Re 0.2500 0.2500 0.7500 x4